Record 1
## ZrFeAsSe2 (PBE)

Data for a geometry-optimized ZrFeAsSe2 structure.

## Properties
For the calculated total energy, the calculation gives -5.6272 eV/atom. The magnetization is 1.360 μB/cell. Its symmetry is P4/mmm, No. 123.

Cell lengths 4.718, 4.718, 4.504 Å; angles 90.00, 90.00, 90.00 degrees
Sites, in units of the cell vectors:
As  0.000  0.000  0.500
Se  0.000  0.500  0.000
Se  0.500  0.000  0.000
Zr  0.500  0.500  0.500
Fe  0.000  0.000  0.000

Record 2
## LiAgSe2 (PBE)

Data for a geometry-optimized LiAgSe2 structure.

## Properties
For the calculated total energy, the calculation gives -3.2043 eV/atom. The magnetization is 0.000 μB/cell. Its symmetry is Pmmm, No. 47.

Cell lengths 4.088, 4.842, 3.890 Å; angles 90.00, 90.00, 90.00 degrees
Sites, in units of the cell vectors:
Ag  0.500  0.000  0.500
Li  0.000  0.500  0.500
Se  0.000  0.000  0.000
Se  0.500  0.500  0.000

Record 3
## Li2CrBr (PBE)

Data for a geometry-optimized Li2CrBr structure.

## Properties
For the calculated total energy, the calculation gives -3.9134 eV/atom. The magnetization is 4.778 μB/cell. Its symmetry is C2/m, No. 12.

Cell lengths 3.479, 3.479, 8.310 Å; angles 78.10, 78.10, 59.96 degrees
Sites, in units of the cell vectors:
Br  0.750  0.750  0.750
Cr  0.250  0.250  0.250
Li  0.016  0.016  0.956
Li  0.484  0.484  0.544

Results for energy above the most stable polymorph in this dataset: 0.000, 0.158, 0.000 (in eV per atom, following the order of the records).
Results for E_form (uncorrected): 0.0987, -0.2707, -0.1324 (in eV/atom, following the order of the records).